1.
{
  "formula": "Na2SnBr6",
  "functional": "PBE",
  "state": "relaxed",
  "lattice_angstrom": [[6.858, 0.000, 0.000], [0.000, 6.858, 0.000], [0.000, 0.000, 12.796]],
  "species": ["Na", "Na", "Na", "Na", "Sn", "Sn", "Br", "Br", "Br", "Br", "Br", "Br", "Br", "Br", "Br", "Br", "Br", "Br"],
  "fractional_positions": [[0.000, 0.000, 0.165], [0.000, 0.000, 0.835], [0.500, 0.500, 0.335], [0.500, 0.500, 0.665], [0.000, 0.000, 0.500], [0.500, 0.500, 0.000], [0.188, 0.188, 0.349], [0.188, 0.188, 0.651], [0.224, 0.224, 0.000], [0.276, 0.724, 0.500], [0.312, 0.688, 0.151], [0.312, 0.688, 0.849], [0.688, 0.312, 0.151], [0.688, 0.312, 0.849], [0.724, 0.276, 0.500], [0.776, 0.776, 0.000], [0.812, 0.812, 0.349], [0.812, 0.812, 0.651]],
  "e_form_raw_ev_per_atom": -1.010,
  "crystal_system": "tetragonal",
  "e_above_lowest_polymorph_ev_per_fu": 0.282
}

2.
{
  "formula": "Ce6TeAs3S2",
  "functional": "PBE",
  "state": "relaxed",
  "lattice_angstrom": [[9.149, -2.104, 0.000], [9.149, 2.104, 0.000], [-1.882, 0.000, 8.216]],
  "species": ["Ce", "Ce", "Ce", "Ce", "Ce", "Ce", "Te", "As", "As", "As", "S", "S"],
  "fractional_positions": [[0.004, 0.004, 0.268], [0.326, 0.326, 0.907], [0.332, 0.332, 0.420], [0.668, 0.668, 0.580], [0.674, 0.674, 0.093], [0.996, 0.996, 0.732], [0.500, 0.500, 0.000], [0.163, 0.163, 0.832], [0.500, 0.500, 0.500], [0.837, 0.837, 0.168], [0.169, 0.169, 0.336], [0.831, 0.831, 0.664]],
  "e_form_raw_ev_per_atom": -1.598,
  "crystal_system": "monoclinic"
}

3.
{
  "formula": "BaZnCo2",
  "functional": "PBE",
  "state": "relaxed",
  "lattice_angstrom": [[-2.458, 2.458, 3.450], [2.458, -2.458, 3.450], [2.458, 2.458, -3.450]],
  "species": ["Ba", "Zn", "Co", "Co"],
  "fractional_positions": [[0.000, 0.000, 0.000], [0.250, 0.750, 0.500], [0.500, 0.500, 0.000], [0.750, 0.250, 0.500]],
  "crystal_system": "tetragonal",
  "ef_ev_per_atom": 0.80
}

4.
{
  "formula": "CsTl3Rh",
  "functional": "PBE",
  "state": "relaxed",
  "lattice_angstrom": [[4.894, 2.825, 4.046], [-4.894, 2.825, 4.046], [0.000, -5.651, 4.046]],
  "species": ["Cs", "Cs", "Tl", "Tl", "Tl", "Tl", "Tl", "Tl", "Rh", "Rh"],
  "fractional_positions": [[0.000, 0.000, 0.000], [0.500, 0.500, 0.500], [0.025, 0.750, 0.475], [0.250, 0.525, 0.975], [0.475, 0.025, 0.750], [0.525, 0.975, 0.250], [0.750, 0.475, 0.025], [0.975, 0.250, 0.525], [0.250, 0.250, 0.250], [0.750, 0.750, 0.750]],
  "crystal_system": "trigonal",
  "ef_ev_per_atom": 0.27
}

5.
{
  "formula": "CaPrCo",
  "functional": "PBE",
  "state": "relaxed",
  "lattice_angstrom": [[2.018, -10.926, 0.000], [2.018, 10.926, 0.000], [0.000, 0.000, 3.974]],
  "species": ["Ca", "Ca", "Pr", "Pr", "Co", "Co"],
  "fractional_positions": [[0.190, 0.810, 0.750], [0.810, 0.190, 0.250], [0.428, 0.572, 0.750], [0.572, 0.428, 0.250], [0.027, 0.973, 0.750], [0.973, 0.027, 0.250]],
  "crystal_system": "orthorhombic",
  "ef_ev_per_atom": -0.02,
  "e_above_lowest_polymorph_ev_per_fu": 0.000
}

6.
{
  "formula": "Tl2HgBr",
  "functional": "PBE",
  "state": "relaxed",
  "lattice_angstrom": [[0.000, 4.002, 4.002], [4.002, 0.000, 4.002], [4.002, 4.002, 0.000]],
  "species": ["Tl", "Tl", "Hg", "Br"],
  "fractional_positions": [[0.000, 0.000, 0.000], [0.250, 0.250, 0.250], [0.750, 0.750, 0.750], [0.500, 0.500, 0.500]],
  "e_form_raw_ev_per_atom": -0.188,
  "crystal_system": "cubic",
  "e_above_lowest_polymorph_ev_per_fu": 0.688
}